This record from Alexandria via LeMat-Bulk describes crystalline AlGe3Bi at its relaxed geometry. The functional is PBE-GGA.

abc: 5.5012 5.5012 5.5012
angles: 90.00 90.00 90.00
Positions (direct):
Ge 0.0000 0.5000 0.0000
Al 0.5000 0.5000 0.5000
Bi 0.0000 0.0000 0.0000
Ge 0.5000 0.0000 0.0000
Ge 0.0000 0.0000 0.5000

Values from the calculation:
Crystal system   cubic
Formation energy from the elements   1.19 eV per atom
Offset from the most stable computed form   746 meV/atom


This record from Alexandria via LeMat-Bulk describes crystalline Y2TeAs2 at its relaxed geometry. The functional is PBE-GGA.

abc: 8.0366 8.0366 3.9755
angles: 90.00 90.00 90.00
Positions (direct):
Y 0.1691 0.3309 0.0000
As 0.3872 0.1128 0.5000
As 0.6128 0.8872 0.5000
As 0.8872 0.3872 0.5000
Te 0.5000 0.5000 0.0000
Y 0.8309 0.6691 0.0000
Y 0.3309 0.8309 0.0000
Y 0.6691 0.1691 0.0000
As 0.1128 0.6128 0.5000
Te 0.0000 0.0000 0.0000

Values from the calculation:
Crystal system   tetragonal
Raw formation energy   -1.044 eV per atom
Offset from the most stable computed form   82 meV/atom


This record from Alexandria via LeMat-Bulk describes crystalline Tl2BAs at its relaxed geometry. The functional is PBE-GGA.

abc: 6.0390 6.0390 7.0256
angles: 64.55 64.55 90.00
Positions (direct):
Tl 0.8750 0.8130 0.7500
Tl 0.3750 0.4370 0.7500
As 0.0000 0.0000 0.0000
B 0.2500 0.7500 0.5000
Tl 0.1870 0.6250 0.2500
Tl 0.5630 0.1250 0.2500
As 0.7500 0.2500 0.5000
B 0.5000 0.5000 0.0000

Values from the calculation:
Crystal system   tetragonal
Formation energy from the elements   0.80 eV per atom
Offset from the most stable computed form   0 meV/atom


This record from Alexandria via LeMat-Bulk describes crystalline LaHfIN2 at its relaxed geometry. The functional is PBE-GGA.

abc: 4.3487 4.3487 5.4916
angles: 90.00 90.00 90.00
Positions (direct):
N 0.5000 0.0000 0.0000
La 0.5000 0.5000 0.5000
I 0.0000 0.0000 0.5000
N 0.0000 0.5000 0.0000
Hf 0.0000 0.0000 0.0000

Values from the calculation:
Crystal system   tetragonal
Raw formation energy   -0.318 eV per atom
Offset from the most stable computed form   0 meV/atom


This record from Alexandria via LeMat-Bulk describes crystalline Li2SbAu2 at its relaxed geometry. The functional is PBE-GGA.

abc: 3.9145 3.9145 6.9084
angles: 73.54 73.54 90.00
Positions (direct):
Au 0.6110 0.6110 0.7781
Sb 0.0000 0.0000 0.0000
Li 0.2500 0.7500 0.5000
Au 0.3890 0.3890 0.2219
Li 0.7500 0.2500 0.5000

Values from the calculation:
Crystal system   tetragonal
Raw formation energy   -0.203 eV per atom
Offset from the most stable computed form   243 meV/atom


This record from Alexandria via LeMat-Bulk describes crystalline Y2Cu4Ni3 at its relaxed geometry. The functional is PBE-GGA.

abc: 4.9002 4.9777 6.7758
angles: 79.75 68.80 60.51
Positions (direct):
Ni 0.0000 0.0000 0.0000
Y 0.6308 0.0000 0.7383
Cu 0.6629 0.3391 0.3352
Cu 0.9981 0.3391 0.6648
Y 0.3692 0.0000 0.2617
Ni 0.5000 0.5000 0.0000
Ni 0.0000 0.5000 0.0000
Cu 0.0019 0.6609 0.3352
Cu 0.3371 0.6609 0.6648

Values from the calculation:
Crystal system   orthorhombic
Formation energy from the elements   -0.30 eV per atom


This record from Alexandria via LeMat-Bulk describes crystalline Rb2YF at its relaxed geometry. The functional is PBE-GGA.

abc: 8.3208 8.3208 7.9671
angles: 58.52 58.52 90.00
Each line ends with the local moment (μB).
Positions (direct):
F 0.5000 0.5000 0.0000  0.01
Rb 0.8750 0.7179 0.7500  0.02
Rb 0.4679 0.1250 0.2500  0.02
Rb 0.2821 0.6250 0.2500  0.02
Rb 0.3750 0.5321 0.7500  0.02
Y 0.7500 0.2500 0.5000  0.68
F 0.2500 0.7500 0.5000  0.01
Y 0.0000 0.0000 0.0000  0.68

Values from the calculation:
Crystal system   tetragonal
Raw formation energy   -0.637 eV per atom
Offset from the most stable computed form   0 meV/atom


This record from Alexandria via LeMat-Bulk describes crystalline GaMoPt at its relaxed geometry. The functional is PBE-GGA.

abc: 4.0833 3.4819 6.7030
angles: 90.00 101.94 90.00
Positions (direct):
Mo 0.7482 0.7500 0.4996
Mo 0.2518 0.2500 0.5004
Pt 0.3389 0.7500 0.8281
Ga 0.8539 0.2500 0.8289
Ga 0.1461 0.7500 0.1711
Pt 0.6611 0.2500 0.1719

Values from the calculation:
Crystal system   monoclinic
Formation energy from the elements   -0.35 eV per atom


no.,D(E_F) (states/eV/atom)
1,0.760
2,0.630
3,0.541
4,0.467
5,0.407
6,0.556
7,0.602
8,0.487